Record 1
Here is NaAs4Pd6 after structural relaxation from the Alexandria database. Energies are from PBE-GGA.

POSCAR file:
```
NaAs4Pd6
1.0
-4.390 3.778 -3.127
2.971 -4.823 -3.353
-2.145 -4.169 4.621
Na As Pd
1 4 6
Cartesian
0.000 0.000 0.000
-0.825 -3.067 2.198
-2.117 -1.689 -1.220
1.415 -3.353 -1.293
-1.210 -6.095 -0.277
1.292 -5.723 -0.415
-0.258 -5.525 2.001
-2.876 0.629 -1.897
-3.268 -0.195 0.747
-0.896 -3.584 -0.281
-0.710 -0.522 -3.240
```

## Properties
uncorrected energy: -54.71 eV for the cell shown
size of the total moment: 0.00 μB/cell
DFT formation energy: -0.33 eV/atom
N(E_F): 0.416 states/eV/atom
space group: No. 121



Record 2
Here is NaAs2Pd after structural relaxation from the Alexandria database. Energies are from PBE-GGA.

POSCAR file:
```
NaAs2Pd
1.0
4.134 0.000 0.000
2.067 3.580 0.000
2.067 1.193 5.788
Na As Pd
1 2 1
Cartesian
4.134 2.387 2.894
2.067 1.193 0.938
6.201 3.580 4.850
0.000 0.000 0.000
```

## Properties
uncorrected energy: -17.01 eV for the cell shown
size of the total moment: 0.00 μB/cell
DFT formation energy: -0.30 eV/atom
N(E_F): 0.351 states/eV/atom
space group: No. 166